(1)
Density functional theory data (PBE-GGA) for a relaxed Zr4BiB2Pb crystal.

a = 3.523 Å, b = 3.523 Å, c = 14.914 Å
α = 90.00°, β = 90.00°, γ = 120.00°
Element x y z (fractional)
Zr (0.000, 0.000, 0.163)
Zr (0.000, 0.000, 0.837)
Zr (0.667, 0.333, 0.334)
Zr (0.667, 0.333, 0.666)
Bi (0.667, 0.333, 0.000)
B (0.333, 0.667, 0.248)
B (0.333, 0.667, 0.752)
Pb (0.000, 0.000, 0.500)

Output
Space-group type: P-6m2, No. 187
DFT total energy (Ha/atom): -0.274

---

(2)
Density functional theory data (PBE-GGA) for a relaxed BiBPd crystal.

a = 5.980 Å, b = 5.980 Å, c = 5.980 Å
α = 90.00°, β = 90.00°, γ = 90.00°
Element x y z (fractional)
Bi (0.000, 0.000, 0.000)
Bi (0.000, 0.500, 0.500)
Bi (0.500, 0.000, 0.500)
Bi (0.500, 0.500, 0.000)
B (0.250, 0.250, 0.250)
B (0.250, 0.750, 0.750)
B (0.750, 0.250, 0.750)
B (0.750, 0.750, 0.250)
Pd (0.000, 0.000, 0.500)
Pd (0.000, 0.500, 0.000)
Pd (0.500, 0.000, 0.000)
Pd (0.500, 0.500, 0.500)

Output
Energy above the most stable polymorph in this dataset (meV/atom): 0
Space-group type: F-43m, No. 216
DFT total energy (Ha/atom): -0.171

---

(3)
Density functional theory data (PBE-GGA) for a relaxed BiB4Pd crystal.

a = 3.096 Å, b = 3.096 Å, c = 8.447 Å
α = 90.00°, β = 90.00°, γ = 120.00°
Element x y z (fractional)
Bi (0.000, 0.000, 0.000)
B (0.333, 0.667, 0.294)
B (0.333, 0.667, 0.706)
B (0.667, 0.333, 0.294)
B (0.667, 0.333, 0.706)
Pd (0.000, 0.000, 0.500)

Output
Energy above the most stable polymorph in this dataset (meV/atom): 0
Space-group type: P6/mmm, No. 191
DFT total energy (Ha/atom): -0.201

---

(4)
Density functional theory data (PBE-GGA) for a relaxed BiB4Pd crystal.

a = 3.087 Å, b = 5.229 Å, c = 8.858 Å
α = 90.00°, β = 90.00°, γ = 90.00°
Element x y z (fractional)
Bi (0.000, 0.000, 0.000)
Bi (0.500, 0.500, 0.500)
B (0.000, 0.331, 0.247)
B (0.000, 0.331, 0.753)
B (0.000, 0.669, 0.247)
B (0.000, 0.669, 0.753)
B (0.500, 0.169, 0.253)
B (0.500, 0.169, 0.747)
B (0.500, 0.831, 0.253)
B (0.500, 0.831, 0.747)
Pd (0.000, 0.000, 0.500)
Pd (0.500, 0.500, 0.000)

Output
Energy above the most stable polymorph in this dataset (meV/atom): 26
Space-group type: Immm, No. 71
DFT total energy (Ha/atom): -0.200

---

(5)
Density functional theory data (PBE-GGA) for a relaxed PrBiB crystal.

a = 7.073 Å, b = 7.073 Å, c = 7.073 Å
α = 90.00°, β = 90.00°, γ = 90.00°
Element x y z (fractional)
Pr (0.000, 0.000, 0.000)
Pr (0.000, 0.500, 0.500)
Pr (0.500, 0.000, 0.500)
Pr (0.500, 0.500, 0.000)
Bi (0.250, 0.250, 0.250)
Bi (0.250, 0.750, 0.750)
Bi (0.750, 0.250, 0.750)
Bi (0.750, 0.750, 0.250)
B (0.250, 0.250, 0.750)
B (0.250, 0.750, 0.250)
B (0.750, 0.250, 0.250)
B (0.750, 0.750, 0.750)

Output
Energy above the most stable polymorph in this dataset (meV/atom): 565
Space-group type: F-43m, No. 216
DFT total energy (Ha/atom): -0.158

---

(6)
Density functional theory data (PBE-GGA) for a relaxed PrBiB crystal.

a = 6.625 Å, b = 6.625 Å, c = 6.625 Å
α = 90.00°, β = 90.00°, γ = 90.00°
Element x y z (fractional)
Pr (0.000, 0.000, 0.000)
Pr (0.000, 0.500, 0.500)
Pr (0.500, 0.000, 0.500)
Pr (0.500, 0.500, 0.000)
Bi (0.000, 0.000, 0.500)
Bi (0.000, 0.500, 0.000)
Bi (0.500, 0.000, 0.000)
Bi (0.500, 0.500, 0.500)
B (0.250, 0.250, 0.750)
B (0.250, 0.750, 0.250)
B (0.750, 0.250, 0.250)
B (0.750, 0.750, 0.750)

Output
Energy above the most stable polymorph in this dataset (meV/atom): 0
Space-group type: F-43m, No. 216
DFT total energy (Ha/atom): -0.179

---

(7)
Density functional theory data (PBE-GGA) for a relaxed PuBiB crystal.

a = 6.367 Å, b = 6.367 Å, c = 6.367 Å
α = 90.00°, β = 90.00°, γ = 90.00°
Element x y z (fractional)
Pu (0.000, 0.000, 0.000)
Pu (0.000, 0.500, 0.500)
Pu (0.500, 0.000, 0.500)
Pu (0.500, 0.500, 0.000)
Bi (0.000, 0.000, 0.500)
Bi (0.000, 0.500, 0.000)
Bi (0.500, 0.000, 0.000)
Bi (0.500, 0.500, 0.500)
B (0.250, 0.250, 0.750)
B (0.250, 0.750, 0.250)
B (0.750, 0.250, 0.250)
B (0.750, 0.750, 0.750)

Output
Energy above the most stable polymorph in this dataset (meV/atom): 0
Space-group type: F-43m, No. 216
DFT total energy (Ha/atom): -0.291

---

(8)
Density functional theory data (PBE-GGA) for a relaxed PuBiB crystal.

a = 6.872 Å, b = 6.872 Å, c = 6.872 Å
α = 90.00°, β = 90.00°, γ = 90.00°
Element x y z (fractional)
Pu (0.000, 0.000, 0.000)
Pu (0.000, 0.500, 0.500)
Pu (0.500, 0.000, 0.500)
Pu (0.500, 0.500, 0.000)
Bi (0.250, 0.250, 0.250)
Bi (0.250, 0.750, 0.750)
Bi (0.750, 0.250, 0.750)
Bi (0.750, 0.750, 0.250)
B (0.250, 0.250, 0.750)
B (0.250, 0.750, 0.250)
B (0.750, 0.250, 0.250)
B (0.750, 0.750, 0.750)

Output
Energy above the most stable polymorph in this dataset (meV/atom): 560
Space-group type: F-43m, No. 216
DFT total energy (Ha/atom): -0.270

---

(9)
Density functional theory data (PBE-GGA) for a relaxed TaBiB4 crystal.

a = 3.100 Å, b = 5.561 Å, c = 7.760 Å
α = 90.00°, β = 90.00°, γ = 90.00°
Element x y z (fractional)
Ta (0.000, 0.000, 0.000)
Ta (0.500, 0.500, 0.500)
Bi (0.000, 0.000, 0.500)
Bi (0.500, 0.500, 0.000)
B (0.000, 0.334, 0.256)
B (0.000, 0.334, 0.744)
B (0.000, 0.666, 0.256)
B (0.000, 0.666, 0.744)
B (0.500, 0.166, 0.244)
B (0.500, 0.166, 0.756)
B (0.500, 0.834, 0.244)
B (0.500, 0.834, 0.756)

Output
Energy above the most stable polymorph in this dataset (meV/atom): 419
Space-group type: Immm, No. 71
DFT total energy (Ha/atom): -0.246

---

(10)
Density functional theory data (PBE-GGA) for a relaxed TaBiB4 crystal.

a = 3.093 Å, b = 3.093 Å, c = 8.742 Å
α = 90.00°, β = 90.00°, γ = 120.00°
Element x y z (fractional)
Ta (0.000, 0.000, 0.000)
Bi (0.000, 0.000, 0.500)
B (0.333, 0.667, 0.188)
B (0.333, 0.667, 0.812)
B (0.667, 0.333, 0.188)
B (0.667, 0.333, 0.812)

Output
Energy above the most stable polymorph in this dataset (meV/atom): 0
Space-group type: P6/mmm, No. 191
DFT total energy (Ha/atom): -0.261

---

(11)
Density functional theory data (PBE-GGA) for a relaxed Ta2BiB crystal.

a = 3.469 Å, b = 3.469 Å, c = 13.385 Å
α = 90.00°, β = 90.00°, γ = 120.00°
Element x y z (fractional)
Ta (0.333, 0.667, 0.081)
Ta (0.333, 0.667, 0.419)
Ta (0.667, 0.333, 0.581)
Ta (0.667, 0.333, 0.919)
Bi (0.333, 0.667, 0.750)
Bi (0.667, 0.333, 0.250)
B (0.000, 0.000, 0.000)
B (0.000, 0.000, 0.500)

Output
Space-group type: P6_3/mmc, No. 194
DFT total energy (Ha/atom): -0.324

---

(12)
Density functional theory data (PBE-GGA) for a relaxed Ta3BiB2 crystal.

a = 3.387 Å, b = 3.387 Å, c = 18.808 Å
α = 90.00°, β = 90.00°, γ = 120.00°
Element x y z (fractional)
Ta (0.000, 0.000, 0.000)
Ta (0.000, 0.000, 0.500)
Ta (0.333, 0.667, 0.128)
Ta (0.333, 0.667, 0.372)
Ta (0.667, 0.333, 0.628)
Ta (0.667, 0.333, 0.872)
Bi (0.000, 0.000, 0.250)
Bi (0.000, 0.000, 0.750)
B (0.333, 0.667, 0.570)
B (0.333, 0.667, 0.930)
B (0.667, 0.333, 0.070)
B (0.667, 0.333, 0.430)

Output
Space-group type: P6_3/mmc, No. 194
DFT total energy (Ha/atom): -0.337

---

(13)
Density functional theory data (PBE-GGA) for a relaxed TaBiB crystal.

a = 6.346 Å, b = 6.346 Å, c = 6.346 Å
α = 90.00°, β = 90.00°, γ = 90.00°
Element x y z (fractional)
Ta (0.000, 0.000, 0.000)
Ta (0.000, 0.500, 0.500)
Ta (0.500, 0.000, 0.500)
Ta (0.500, 0.500, 0.000)
Bi (0.250, 0.250, 0.250)
Bi (0.250, 0.750, 0.750)
Bi (0.750, 0.250, 0.750)
Bi (0.750, 0.750, 0.250)
B (0.250, 0.250, 0.750)
B (0.250, 0.750, 0.250)
B (0.750, 0.250, 0.250)
B (0.750, 0.750, 0.750)

Output
Energy above the most stable polymorph in this dataset (meV/atom): 399
Space-group type: F-43m, No. 216
DFT total energy (Ha/atom): -0.219

---

(14)
Density functional theory data (PBE-GGA) for a relaxed TaBiB crystal.

a = 6.034 Å, b = 6.034 Å, c = 6.034 Å
α = 90.00°, β = 90.00°, γ = 90.00°
Element x y z (fractional)
Ta (0.000, 0.000, 0.000)
Ta (0.000, 0.500, 0.500)
Ta (0.500, 0.000, 0.500)
Ta (0.500, 0.500, 0.000)
Bi (0.000, 0.000, 0.500)
Bi (0.000, 0.500, 0.000)
Bi (0.500, 0.000, 0.000)
Bi (0.500, 0.500, 0.500)
B (0.250, 0.250, 0.750)
B (0.250, 0.750, 0.250)
B (0.750, 0.250, 0.250)
B (0.750, 0.750, 0.750)

Output
Energy above the most stable polymorph in this dataset (meV/atom): 0
Space-group type: F-43m, No. 216
DFT total energy (Ha/atom): -0.233